# 1
This record from the Alexandria database describes a relaxed structure of MgRu2. The functional is PBE-GGA.

a b c (Å): 4.5693 4.5693 2.5329
angles (deg): 90.00 90.00 90.00
With the nearest neighbours (Å) after each atom.
Space group P4/mmm (No. 123)
Unique sites:
Mg 0.0000 0.0000 0.0000 (multiplicity 1)  2 Mg 2.53, 8 Ru 2.61
Ru 0.0000 0.5000 0.5000 (multiplicity 2)  2 Ru 2.53, 4 Mg 2.61

- N(E_F): 3.068 states/eV/f.u.
- Magnetization: 0.000 μB per atom
- Energy relative to the elements: 1.14 eV per atom

=====

# 2
This record from the Alexandria database describes a relaxed structure of AlMo2AsI. The functional is PBE-GGA.

a b c (Å): 4.9907 4.9907 5.1315
angles (deg): 90.00 90.00 90.00
With the nearest neighbours (Å) after each atom.
Space group P4/mmm (No. 123)
Unique sites:
Al 0.0000 0.0000 0.0000 (multiplicity 1)  2 I 2.57
Mo 0.0000 0.5000 0.5000 (multiplicity 2)  2 I 2.50
As 0.5000 0.5000 0.0000 (multiplicity 1)  4 Al 3.53, 8 Mo 3.58
I 0.0000 0.0000 0.5000 (multiplicity 1)  4 Mo 2.50, 2 Al 2.57

- N(E_F): 4.932 states/eV/f.u.
- Energy relative to the elements, uncorrected: 2.0644 eV per atom
- Magnetization: 0.583 μB per atom

=====

# 3
This record from the Alexandria database describes a relaxed structure of LaHfCd3. The functional is PBE-GGA.

a b c (Å): 5.3999 5.3999 5.3999
angles (deg): 90.00 90.00 90.00
With the nearest neighbours (Å) after each atom.
Space group Pm-3m (No. 221)
Unique sites:
La 0.0000 0.0000 0.0000 (multiplicity 1)  12 Cd 3.82
Hf 0.5000 0.5000 0.5000 (multiplicity 1)  6 Cd 2.70
Cd 0.0000 0.5000 0.5000 (multiplicity 3)  2 Hf 2.70

- N(E_F): 5.229 states/eV/f.u.
- ΔE to the lowest computed polymorph: 0 meV/atom
- Magnetization: 0.000 μB per atom
- Energy relative to the elements: 0.46 eV per atom

=====

# 4
This record from the Alexandria database describes a relaxed structure of Na2TbHoSe4. The functional is PBE-GGA.

a b c (Å): 7.1803 4.1459 7.4036
angles (deg): 90.00 108.84 90.00
With the nearest neighbours (Å) after each atom.
Space group P2/m (No. 10)
Unique sites:
Na 0.0000 0.0000 0.0000 (multiplicity 1)  6 Se 3.06
Na 0.5000 0.5000 0.0000 (multiplicity 1)  6 Se 3.04-3.05
Tb 0.0000 0.5000 0.5000 (multiplicity 1)  6 Se 2.89
Ho 0.5000 0.0000 0.5000 (multiplicity 1)  6 Se 2.87-2.88
Se 0.2451 0.0000 0.7299 (multiplicity 2)  1 Ho 2.87, 2 Tb 2.89, 3 Na 3.05-3.06
Se 0.2590 0.5000 0.2711 (multiplicity 2)  2 Ho 2.88, 1 Tb 2.89, 3 Na 3.04-3.06

- N(E_F): 0.000 states/eV/f.u.
- Energy relative to the elements, uncorrected: -1.7070 eV per atom
- Magnetization: 0.000 μB per atom

=====

- The highest N(E_F) belongs to which entry?
  LaHfCd3